First-principles (PBE-GGA) data for a relaxed BaSnHg2Pb crystal, as listed in the Open Quantum Materials Database.

The energy above the lowest structure with this stoichiometry comes out at 0.0 meV/atom.

The space group is P4/nmm (No. 129, origin choice 2) and the conventional cell measures 5.053, 5.053 and 12.301 Å, with angles of 90.00, 90.00 and 90.00 degrees. Symmetry generates all atoms from Ba at (0.250, 0.250, 0.231), Sn at (0.250, 0.250, 0.874), Hg at (0.250, 0.250, 0.646), Hg at (0.250, 0.750, 0.000) and Pb at (0.250, 0.750, 0.500).